[1]
VOsC2 | Alexandria via LeMat-Bulk | PBE-GGA | optimized geometry; DOS(E_F) = 3.0 states/eV/f.u.; space-group type = I-42d, No. 122; calculated total energy = -9.238 eV/atom
1.0
4.556 0.000 0.000
0.000 4.556 0.000
2.278 2.278 4.609
C V Os
4 2 2
direct
0.875 0.879 0.750 C
0.375 0.371 0.750 C
0.629 0.125 0.250 C
0.121 0.625 0.250 C
0.250 0.750 0.500 V
0.500 0.500 0.000 V
0.750 0.250 0.500 Os
0.000 0.000 0.000 Os



[2]
CuTeSe2 | Alexandria via LeMat-Bulk | PBE-GGA | optimized geometry; DOS(E_F) = 1.4 states/eV/f.u.; space-group type = R-3m, No. 166; uncorrected formation energy = 50 meV per atom; calculated total energy = -3.501 eV/atom
1.0
2.221 0.000 6.701
-1.111 1.924 6.701
-1.111 -1.924 6.701
Cu Se Te
1 2 1
direct
0.000 0.000 0.000 Cu
0.267 0.267 0.267 Se
0.733 0.733 0.733 Se
0.500 0.500 0.500 Te



[3]
MoPCl | Alexandria via LeMat-Bulk | PBE-GGA | optimized geometry; DOS(E_F) = 2.0 states/eV/f.u.; space-group type = Fmm2, No. 42; uncorrected formation energy = 105 meV per atom; calculated total energy = -5.924 eV/atom
1.0
7.590 0.024 -0.016
6.707 2.962 -0.020
0.883 -1.040 2.748
Mo Cl P
1 1 1
direct
0.672 0.672 0.328 Mo
0.038 0.038 0.962 Cl
0.289 0.289 0.711 P



[4]
GdHoPdRu | Alexandria via LeMat-Bulk | PBE-GGA | optimized geometry; DOS(E_F) = 2.2 states/eV/f.u.; space-group type = F-43m, No. 216; calculated total energy = -8.901 eV/atom
1.0
4.890 0.000 0.000
2.445 4.235 0.000
2.445 1.412 3.992
Gd Ru Ho Pd
1 1 1 1
direct
0.000 0.000 0.000 Gd
0.750 0.750 0.750 Ru
0.500 0.500 0.500 Ho
0.250 0.250 0.250 Pd